Model i:
This record from Alexandria via LeMat-Bulk describes AcDy5Ho3 after structural relaxation. The functional is GGA-PBE.

Lattice parameters (Å, degrees): 9.788 9.036 13.397 132.80 90.00 122.79
Fractional coordinates of all 18 atoms:
Dy1 0.838 0.342 0.100
Dy2 0.170 0.000 0.750
Dy3 0.178 0.676 0.426
Dy4 0.497 0.658 0.400
Dy5 0.503 0.342 0.600
Dy6 0.498 0.676 0.926
Dy7 0.822 0.324 0.574
Dy8 0.830 0.000 0.250
Dy9 0.162 0.658 0.900
Dy10 0.502 0.324 0.074
Ac1 0.178 0.000 0.250
Ac2 0.822 0.000 0.750
Ho1 0.323 0.665 0.667
Ho2 0.000 0.000 0.500
Ho3 0.342 0.665 0.167
Ho4 0.658 0.335 0.833
Ho5 0.677 0.335 0.333
Ho6 0.000 0.000 0.000

=====

Model ii:
This record from Alexandria via LeMat-Bulk describes AcDy5Ho3 after structural relaxation. The functional is GGA-PBE.

Lattice parameters (Å, degrees): 9.528 9.528 11.776 52.78 52.78 73.42
Fractional coordinates of all 18 atoms:
Dy1 0.820 0.820 0.956
Dy2 0.180 0.180 0.044
Dy3 0.497 0.497 0.775
Dy4 0.503 0.503 0.225
Dy5 0.259 0.741 0.000
Dy6 0.741 0.259 0.000
Dy7 0.364 0.867 0.246
Dy8 0.636 0.133 0.754
Dy9 0.133 0.636 0.754
Dy10 0.867 0.364 0.246
Ho1 0.313 0.313 0.178
Ho2 0.656 0.656 0.356
Ho3 0.344 0.344 0.644
Ho4 0.000 0.000 0.500
Ho5 0.687 0.687 0.822
Ho6 0.000 0.000 0.000
Ac1 0.839 0.839 0.411
Ac2 0.161 0.161 0.589

=====

Relative stability in meV/atom, measured from the most stable structure: model i 0; model ii 416

=====

Model i:
This record from Alexandria via LeMat-Bulk describes AcDy6Ho after structural relaxation. The functional is GGA-PBE.

Lattice parameters (Å, degrees): 5.084 5.084 10.161 90.00 90.00 90.00
Fractional coordinates of all 8 atoms:
Dy1 0.000 0.500 0.259
Dy2 0.500 0.000 0.741
Dy3 0.000 0.500 0.741
Dy4 0.500 0.500 0.500
Dy5 0.500 0.500 0.000
Dy6 0.500 0.000 0.259
Ac1 0.000 0.000 0.000
Ho1 0.000 0.000 0.500

=====

Model ii:
This record from Alexandria via LeMat-Bulk describes AcDy6Ho after structural relaxation. The functional is GGA-PBE.

Lattice parameters (Å, degrees): 6.770 6.726 6.850 91.15 60.06 83.97
Fractional coordinates of all 8 atoms:
Dy1 0.431 0.260 0.520
Dy2 0.564 0.738 0.958
Dy3 0.907 0.278 0.544
Dy4 0.569 0.740 0.480
Dy5 0.093 0.722 0.456
Dy6 0.436 0.262 0.042
Ac1 0.000 0.000 0.000
Ho1 0.000 0.500 0.000

=====

Relative stability in meV/atom, measured from the most stable structure: model i 0; model ii 175